5
Lattice="-1.956 1.956 6.218 1.956 -1.956 6.218 1.956 1.956 -6.218" Properties=species:S:1:pos:R:3 comment="GdErTeO2 PBE-GGA relaxed" magmom_total_mub_per_cell=0.001 vol_a3_per_fu=95.2 e_above_lowest_polymorph_mev_per_atom=0 spacegroup="I4mm (107)" pbc="T T T"
Gd 0.000 0.000 0.000
Er 0.000 0.000 8.407
Te 0.000 0.000 4.213
O 1.956 0.000 1.144
O 0.000 1.956 1.144